Record 1
Material: KAcAgAu
Method: DFT, PBE
State: relaxed

Structure (POSCAR):
```
KAcAgAu
1.0
7.814 0.000 0.000
0.000 7.814 0.000
0.000 0.000 7.814
K Ac Ag Au
4 4 4 4
direct
0.000 0.000 0.000
0.000 0.500 0.500
0.500 0.000 0.500
0.500 0.500 0.000
0.000 0.000 0.500
0.000 0.500 0.000
0.500 0.000 0.000
0.500 0.500 0.500
0.250 0.250 0.250
0.250 0.750 0.750
0.750 0.250 0.750
0.750 0.750 0.250
0.250 0.250 0.750
0.250 0.750 0.250
0.750 0.250 0.250
0.750 0.750 0.750
```

Calculated values
The density of states at the Fermi level is 3.48 states/eV/f.u. The space group is F-43m (216). The total energy comes out at -3.061 eV per atom. As for the density: 7.95 g/cm3. The total magnetization comes out at 0.0 μB per cell.

---

Record 2
Material: BaGePbSe4
Method: DFT, PBE
State: relaxed

Structure (POSCAR):
```
BaGePbSe4
1.0
7.194 0.000 0.000
0.000 7.099 0.000
-2.731 0.000 8.438
Ba Ge Pb Se
2 2 2 8
direct
0.238 0.250 0.438
0.762 0.750 0.562
0.284 0.750 0.191
0.716 0.250 0.809
0.254 0.250 0.951
0.746 0.750 0.049
0.087 0.750 0.921
0.092 0.750 0.369
0.498 0.011 0.245
0.498 0.489 0.245
0.502 0.511 0.755
0.502 0.989 0.755
0.908 0.250 0.631
0.913 0.250 0.079
```

Calculated values
For the uncorrected formation energy, the calculation gives -881 meV/atom. The space group is P2_1/m (11). The total energy comes out at -4.336 eV per atom. As for the density: 5.65 g/cm3. The total magnetization comes out at 0.0 μB per cell.

---

Record 3
Material: La6Al3Se14
Method: DFT, PBE
State: relaxed

Structure (POSCAR):
```
La6Al3Se14
1.0
10.694 0.000 0.000
-5.347 9.261 0.000
0.000 0.000 6.210
La Al Se
6 3 14
direct
0.035 0.564 0.000
0.300 0.105 0.504
0.436 0.472 0.000
0.528 0.965 0.000
0.805 0.700 0.504
0.895 0.195 0.504
0.000 0.000 0.914
0.333 0.667 0.415
0.667 0.333 0.771
0.000 0.000 0.296
0.090 0.851 0.770
0.149 0.238 0.770
0.182 0.428 0.271
0.246 0.818 0.271
0.333 0.667 0.796
0.429 0.184 0.001
0.521 0.424 0.540
0.572 0.754 0.271
0.576 0.097 0.540
0.755 0.571 0.001
0.762 0.910 0.770
0.816 0.245 0.001
0.903 0.479 0.540
```

Calculated values
For the uncorrected formation energy, the calculation gives -1613 meV/atom. The density of states at the Fermi level is 10.43 states/eV/f.u. The space group is P3 (143). The total energy comes out at -5.508 eV per atom. As for the density: 5.45 g/cm3. The total magnetization comes out at 0.0 μB per cell.

---

> What is the total magnetization in the first record?

0.0 μB per cell